(1)
VASP calculation (PBE) on V23Sn6 after structural relaxation. Values from VASP.

Results
V	455	Å³/cell
final energy	-233.000	eV for the cell shown
spin magnetization	0.0	μB/cell
density	6.9	Mg/m³

Cell and atoms, written as Quantum ESPRESSO input:
```
&SYSTEM
  ibrav = 0, nat = 29, ntyp = 2
/
ATOMIC_SPECIES
V 50.94 V.upf
Sn 118.71 Sn.upf
ATOMIC_POSITIONS crystal
V 0.500 0.500 0.500
V 0.500 0.000 0.000
V 0.000 0.500 0.500
V 0.500 0.500 0.000
V 0.000 0.000 0.500
V 0.500 0.000 0.500
V 0.000 0.500 0.000
V 0.137 0.621 0.621
V 0.621 0.621 0.137
V 0.621 0.137 0.621
V 0.621 0.621 0.621
V 0.379 0.379 0.863
V 0.863 0.379 0.379
V 0.379 0.863 0.379
V 0.379 0.379 0.379
V 0.506 0.831 0.831
V 0.831 0.831 0.506
V 0.831 0.506 0.831
V 0.831 0.831 0.831
V 0.169 0.169 0.494
V 0.494 0.169 0.169
V 0.169 0.494 0.169
V 0.169 0.169 0.169
Sn 0.222 0.778 0.778
Sn 0.778 0.222 0.222
Sn 0.222 0.222 0.778
Sn 0.778 0.778 0.222
Sn 0.222 0.778 0.222
Sn 0.778 0.222 0.778
CELL_PARAMETERS angstrom
-4.664 7.030 -1.825
-6.212 -0.375 -5.981
-8.293 0.410 2.359
```


(2)
VASP calculation (PBE) on Mg5Zn after structural relaxation. Values from VASP.

Results
V	128	Å³/cell
final energy	-9.372	eV for the cell shown
spin magnetization	0.0	μB/cell
density	2.4	Mg/m³

Cell and atoms, written as Quantum ESPRESSO input:
```
&SYSTEM
  ibrav = 0, nat = 6, ntyp = 2
/
ATOMIC_SPECIES
Mg 24.30 Mg.upf
Zn 65.41 Zn.upf
ATOMIC_POSITIONS crystal
Mg 0.000 0.000 0.973
Mg 0.500 0.500 0.152
Mg 0.000 0.000 0.333
Mg 0.500 0.500 0.515
Mg 0.000 0.000 0.694
Zn 0.500 0.500 0.833
CELL_PARAMETERS angstrom
-2.799 -1.432 0.396
0.632 -1.912 -2.447
5.425 -8.400 7.964
```


(3)
VASP calculation (PBE) on Nd3SmTl after structural relaxation. Values from VASP.

Results
V	194	Å³/cell
spin magnetization	1.7	μB/cell
density	6.7	Mg/m³
polymorph energy (0 for the lowest one)	441	meV per atom

Cell and atoms, written as Quantum ESPRESSO input:
```
&SYSTEM
  ibrav = 0, nat = 5, ntyp = 3
/
ATOMIC_SPECIES
Nd 144.24 Nd.upf
Sm 150.36 Sm.upf
Tl 204.38 Tl.upf
ATOMIC_POSITIONS crystal
Nd 0.725 0.225 0.225
Nd 0.225 0.725 0.225
Nd 0.225 0.225 0.725
Sm 0.725 0.725 0.725
Tl 0.225 0.225 0.225
CELL_PARAMETERS angstrom
-5.721 2.572 0.922
1.031 -4.538 4.305
4.466 4.473 0.488
```